DFT (PBE+U) results for crystalline V3O5F3 at its relaxed geometry.

CIF file:
```
data_V3O5F3
_cell_length_a 9.133
_cell_length_b 11.471
_cell_length_c 4.999
_cell_angle_alpha 90.00
_cell_angle_beta 90.65
_cell_angle_gamma 90.00
_space_group_name_H-M_alt 'C 1 c 1'
_space_group_IT_number 9
_space_group_name_Hall 'C -2yc'
loop_
_atom_site_label
_atom_site_type_symbol
_atom_site_fract_x
_atom_site_fract_y
_atom_site_fract_z
V1 V 0.000 0.069 0.000
V2 V 0.245 0.332 0.992
V3 V 0.496 0.095 0.978
O1 O 0.100 0.047 0.719
O2 O 0.107 0.426 0.173
O3 O 0.119 0.331 0.677
O4 O 0.370 0.197 0.890
O5 O 0.372 0.434 0.850
F1 F 0.119 0.197 0.137
F2 F 0.357 0.321 0.338
F3 F 0.390 0.039 0.289
```

Computed properties:
- VASP energy (eV/atom) = -6.922
- total moment (Bohr magnetons per cell) = 8.0